[1]
A plane-wave DFT calculation with GGA-PBE was carried out for an optimized crystal structure of Li2AlRu.

Cell lengths 5.028, 8.815, 2.586 Å; angles 90.00, 90.00, 90.00 degrees
Space group Cmmm (No. 65)
Inequivalent atoms, fractional coordinates:
Li 0.250 0.250 0.000 (multiplicity 4)
Al 0.000 0.000 0.500 (multiplicity 2)
Ru 0.000 0.500 0.500 (multiplicity 2)

[2]
A plane-wave DFT calculation with GGA-PBE was carried out for an optimized crystal structure of LiAl3Ru2.

Cell lengths 4.234, 12.922, 3.027 Å; angles 90.00, 90.00, 90.00 degrees
Space group Cmmm (No. 65)
Inequivalent atoms, fractional coordinates:
Li 0.000 0.000 0.000 (multiplicity 2)
Al 0.000 0.178 0.500 (multiplicity 4)
Al 0.000 0.500 0.500 (multiplicity 2)
Ru 0.000 0.342 0.000 (multiplicity 4)

[3]
A plane-wave DFT calculation with GGA-PBE was carried out for an optimized crystal structure of Li2Al2Ru.

Cell lengths 4.304, 4.304, 7.137 Å; angles 90.00, 90.00, 90.00 degrees
Space group I4/mmm (No. 139)
Inequivalent atoms, fractional coordinates:
Li 0.000 0.000 0.126 (multiplicity 4)
Al 0.000 0.500 0.250 (multiplicity 4)
Ru 0.000 0.000 0.500 (multiplicity 2)

[4]
A plane-wave DFT calculation with GGA-PBE was carried out for an optimized crystal structure of Li2AlRu.

Cell lengths 3.182, 3.182, 5.915 Å; angles 90.00, 90.00, 90.00 degrees
Space group P4mm (No. 99)
Inequivalent atoms, fractional coordinates:
Li 0.000 0.000 0.000 (multiplicity 1)
Li 0.500 0.500 0.268 (multiplicity 1)
Al 0.500 0.500 0.697 (multiplicity 1)
Ru 0.000 0.000 0.518 (multiplicity 1)

[5]
A plane-wave DFT calculation with GGA-PBE was carried out for an optimized crystal structure of Li2AlRu.

Cell lengths 3.062, 4.518, 8.944 Å; angles 90.00, 90.00, 90.00 degrees
Space group Cmm2 (No. 35)
Inequivalent atoms, fractional coordinates:
Li 0.000 0.000 0.000 (multiplicity 2)
Li 0.000 0.500 0.290 (multiplicity 2)
Al 0.000 0.500 0.746 (multiplicity 2)
Ru 0.000 0.000 0.527 (multiplicity 2)

[6]
A plane-wave DFT calculation with GGA-PBE was carried out for an optimized crystal structure of Li2AlRu.

Cell lengths 2.800, 4.504, 9.267 Å; angles 90.00, 90.00, 90.00 degrees
Space group Cmmm (No. 65)
Inequivalent atoms, fractional coordinates:
Li 0.000 0.000 0.239 (multiplicity 4)
Al 0.000 0.500 0.500 (multiplicity 2)
Ru 0.000 0.500 0.000 (multiplicity 2)

The evaluated E_form for the records listed, in turn: -0.013 -0.588 0.092 -0.128 -0.037 0.074 eV/atom.